# Zr3Mn | Alexandria via LeMat-Bulk | GGA-PBE | optimized geometry
# - Calculated volume: 116.2 Å³/cell
# - Energy of formation: 0.918 eV/atom
# - Crystal system: cubic
data_Zr3Mn
_chemical_formula_sum 'Zr3 Mn1'
_cell_length_a 4.880
_cell_length_b 4.880
_cell_length_c 4.880
_cell_angle_alpha 90.00
_cell_angle_beta 90.00
_cell_angle_gamma 90.00
_space_group_name_H-M_alt 'P 1'
_space_group_IT_number 1
loop_
_space_group_symop_operation_xyz
'x,y,z'
loop_
_atom_site_label
_atom_site_type_symbol
_atom_site_fract_x
_atom_site_fract_y
_atom_site_fract_z
Mn1 Mn 0.000 0.000 0.000
Zr1 Zr 0.000 0.000 0.500
Zr2 Zr 0.000 0.500 0.000
Zr3 Zr 0.500 0.000 0.000

# NaMoI2 | Alexandria via LeMat-Bulk | GGA-PBE | optimized geometry
# - Calculated volume: 93.7 Å³/cell
# - Formation energy from raw total energies: 434 meV/atom
# - Crystal system: cubic
# - Energy relative to the lowest polymorph listed for this composition: 0.266 eV/atom
data_NaMoI2
_chemical_formula_sum 'Na1 Mo1 I2'
_cell_length_a 5.099
_cell_length_b 5.099
_cell_length_c 5.099
_cell_angle_alpha 60.00
_cell_angle_beta 60.00
_cell_angle_gamma 60.00
_space_group_name_H-M_alt 'P 1'
_space_group_IT_number 1
loop_
_space_group_symop_operation_xyz
'x,y,z'
loop_
_atom_site_label
_atom_site_type_symbol
_atom_site_fract_x
_atom_site_fract_y
_atom_site_fract_z
I1 I 0.250 0.250 0.250
I2 I 0.750 0.750 0.750
Na1 Na 0.000 0.000 0.000
Mo1 Mo 0.500 0.500 0.500

# Na4Hg8Au | Alexandria via LeMat-Bulk | GGA-PBE | optimized geometry
# - Calculated volume: 340.6 Å³/cell
# - Energy of formation: -0.182 eV/atom
# - Crystal system: orthorhombic
data_Na4Hg8Au
_chemical_formula_sum 'Na4 Hg8 Au1'
_cell_length_a 4.660
_cell_length_b 4.372
_cell_length_c 16.720
_cell_angle_alpha 90.00
_cell_angle_beta 90.00
_cell_angle_gamma 90.00
_space_group_name_H-M_alt 'P 1'
_space_group_IT_number 1
loop_
_space_group_symop_operation_xyz
'x,y,z'
loop_
_atom_site_label
_atom_site_type_symbol
_atom_site_fract_x
_atom_site_fract_y
_atom_site_fract_z
Na1 Na 0.000 0.000 0.069
Na2 Na 0.000 0.500 0.624
Na3 Na 0.500 0.500 0.375
Na4 Na 0.500 0.000 0.904
Hg1 Hg 0.000 0.000 0.487
Hg2 Hg 0.000 0.500 0.918
Hg3 Hg 0.500 0.500 0.053
Hg4 Hg 0.500 0.000 0.607
Hg5 Hg 0.000 0.500 0.206
Hg6 Hg 0.000 0.000 0.766
Hg7 Hg 0.500 0.000 0.210
Hg8 Hg 0.500 0.500 0.763
Au1 Au 0.000 0.000 0.321

# MnAlP2 | Alexandria via LeMat-Bulk | GGA-PBE | optimized geometry
# - Calculated volume: 59.4 Å³/cell
# - Energy of formation: 0.038 eV/atom
# - Crystal system: monoclinic
data_MnAlP2
_chemical_formula_sum 'Mn1 Al1 P2'
_cell_length_a 4.311
_cell_length_b 4.311
_cell_length_c 3.522
_cell_angle_alpha 78.12
_cell_angle_beta 78.12
_cell_angle_gamma 105.12
_space_group_name_H-M_alt 'P 1'
_space_group_IT_number 1
loop_
_space_group_symop_operation_xyz
'x,y,z'
loop_
_atom_site_label
_atom_site_type_symbol
_atom_site_fract_x
_atom_site_fract_y
_atom_site_fract_z
P1 P 0.000 0.000 0.000
P2 P 0.500 0.500 0.000
Mn1 Mn 0.000 0.500 0.500
Al1 Al 0.500 0.000 0.500

# BaCo2Sb | Alexandria via LeMat-Bulk | GGA-PBE | optimized geometry
# - Calculated volume: 96.4 Å³/cell
# - Formation energy from raw total energies: -123 meV/atom
# - Crystal system: trigonal
data_BaCo2Sb
_chemical_formula_sum 'Ba1 Co2 Sb1'
_cell_length_a 4.420
_cell_length_b 4.420
_cell_length_c 6.245
_cell_angle_alpha 69.27
_cell_angle_beta 69.27
_cell_angle_gamma 59.99
_space_group_name_H-M_alt 'P 1'
_space_group_IT_number 1
loop_
_space_group_symop_operation_xyz
'x,y,z'
loop_
_atom_site_label
_atom_site_type_symbol
_atom_site_fract_x
_atom_site_fract_y
_atom_site_fract_z
Ba1 Ba 0.750 0.750 0.750
Co1 Co 0.929 0.929 0.214
Co2 Co 0.571 0.571 0.286
Sb1 Sb 0.250 0.250 0.250

# Na2YRePd | Alexandria via LeMat-Bulk | GGA-PBE | optimized geometry
# - Calculated volume: 151.4 Å³/cell
# - Energy of formation: 1.740 eV/atom
# - Crystal system: tetragonal
data_Na2YRePd
_chemical_formula_sum 'Na2 Y1 Re1 Pd1'
_cell_length_a 5.558
_cell_length_b 4.901
_cell_length_c 5.558
_cell_angle_alpha 90.00
_cell_angle_beta 90.00
_cell_angle_gamma 90.00
_space_group_name_H-M_alt 'P 1'
_space_group_IT_number 1
loop_
_space_group_symop_operation_xyz
'x,y,z'
loop_
_atom_site_label
_atom_site_type_symbol
_atom_site_fract_x
_atom_site_fract_y
_atom_site_fract_z
Y1 Y 0.000 0.000 0.000
Re1 Re 0.000 0.500 0.000
Pd1 Pd 0.500 0.500 0.500
Na1 Na 0.000 0.000 0.500
Na2 Na 0.500 0.000 0.000